HfSb | PBE | relaxed

a = 7.999 Å, b = 7.999 Å, c = 7.999 Å
α = 90.00°, β = 90.00°, γ = 90.00°
Site moments in Bohr magnetons follow the coordinates.
Fractional coordinates of all 12 atoms:
1 Hf 0.750 0.500 0.000  0.38
2 Hf 0.000 0.250 0.500  0.38
3 Hf 0.500 0.000 0.250  0.38
4 Hf 0.250 0.500 0.000  0.38
5 Hf 0.500 0.000 0.750  0.38
6 Hf 0.000 0.750 0.500  0.38
7 Sb 0.500 0.250 0.000  -0.02
8 Sb 0.750 0.000 0.500  -0.02
9 Sb 0.000 0.500 0.250  -0.02
10 Sb 0.250 0.000 0.500  -0.02
11 Sb 0.000 0.500 0.750  -0.02
12 Sb 0.500 0.750 0.000  -0.02

Properties
total energy: -6.557 eV/atom
crystal system: cubic
raw formation energy: 481 meV/atom